(1)
VASP calculation (PBE) on an optimized crystal structure of YHo3C.

abc: 5.0319 5.0319 5.0319
angles: 90.00 90.00 90.00
Closest atoms and distances in Å follow each position.
Fractional positions:
Y 0.0000 0.0000 0.0000  12 Ho 3.56
Ho 0.0000 0.5000 0.5000  2 C 2.52
Ho 0.5000 0.0000 0.5000  2 C 2.52
Ho 0.5000 0.5000 0.0000  2 C 2.52
C 0.5000 0.5000 0.5000  6 Ho 2.52

- electronic total energy (eV per cell) = -29.6
- E_form (eV/atom) = -0.026

---

(2)
VASP calculation (PBE) on an optimized crystal structure of YHo2C.

abc: 3.5738 3.5738 9.0491
angles: 90.00 90.00 120.00
Closest atoms and distances in Å follow each position.
Fractional positions:
Y 0.0000 0.0000 0.0000  6 Y 3.57, 6 Ho 3.80
Ho 0.3333 0.6667 0.6480  3 C 2.46
Ho 0.6667 0.3333 0.3520  3 C 2.46
C 0.0000 0.0000 0.5000  6 Ho 2.46

- electronic total energy (eV per cell) = -25.6
- E_form (eV/atom) = -0.197

---

(3)
VASP calculation (PBE) on an optimized crystal structure of Y2HoC2.

abc: 6.2987 6.2987 7.3227
angles: 108.00 108.00 47.67
Closest atoms and distances in Å follow each position.
Fractional positions:
Y 0.0073 0.0073 0.2293  4 C 2.40-2.56
Y 0.3373 0.3373 0.9310  5 C 2.54-2.69
Y 0.6627 0.6627 0.0690  5 C 2.54-2.69
Y 0.9927 0.9927 0.7707  4 C 2.40-2.56
Ho 0.3454 0.3454 0.4035  3 C 2.36-2.50
Ho 0.6546 0.6546 0.5965  3 C 2.36-2.50
C 0.1689 0.1689 0.0903  5 Y 2.40-2.58, 1 Ho 2.50
C 0.4975 0.4975 0.7356  2 Ho 2.36-2.47, 3 Y 2.54-2.56
C 0.5025 0.5025 0.2644  2 Ho 2.36-2.47, 3 Y 2.54-2.56
C 0.8311 0.8311 0.9097  5 Y 2.40-2.58, 1 Ho 2.50

- electronic total energy (eV per cell) = -74.2
- E_form (eV/atom) = -0.224

---

(4)
VASP calculation (PBE) on an optimized crystal structure of YHoC.

abc: 6.4623 6.4623 6.2247
angles: 99.31 99.31 32.32
Closest atoms and distances in Å follow each position.
Fractional positions:
Y 0.1108 0.1108 0.3709  3 C 2.48
Y 0.8892 0.8892 0.6291  3 C 2.48
Ho 0.3914 0.3914 0.1304  3 C 2.46-2.47
Ho 0.6086 0.6086 0.8696  3 C 2.46-2.47
C 0.0000 0.0000 0.0000  4 Ho 2.47, 2 Y 2.48
C 0.5000 0.5000 0.5000  2 Ho 2.46, 4 Y 2.48

- electronic total energy (eV per cell) = -42.3
- E_form (eV/atom) = -0.299

---

- Which value of E_form does entry 3 give?
  -0.224 eV/atom